1.
Compound: MnBr
Source: Alexandria via LeMat-Bulk
Functional: SCAN
Structure: PBEsol geometry

```
2
Lattice="-2.901 0.270 -1.537 1.343 -1.220 -2.749 -0.794 -3.047 0.965" Properties=species:S:1:pos:R:3 pbc="T T T"
Mn -1.176 -1.999 -1.660
Br 0.000 0.000 0.000
```

Summary:
Size of the total moment ... 4.073 μB/f.u.
Uncorrected energy ... -18.887 eV per atom
Theoretical density ... 6.3 Mg/m³
D(E_F) ... 0.70 states/eV per cell

=====

2.
Compound: KTlSb4
Source: Alexandria via LeMat-Bulk
Functional: SCAN
Structure: PBEsol geometry

```
6
Lattice="-1.295 0.950 6.160 1.541 -4.437 4.297 4.734 1.067 4.120" Properties=species:S:1:pos:R:3 pbc="T T T"
Sb 1.877 -0.912 5.494
Sb 1.239 -0.444 8.528
Sb 4.209 -0.386 7.523
Sb 2.636 -3.097 7.610
K 0.000 0.000 0.000
Tl 3.735 -1.814 10.933
```

Summary:
Size of the total moment ... 0.000 μB/f.u.
Uncorrected energy ... -38.418 eV per atom
Theoretical density ... 6.6 Mg/m³
D(E_F) ... 2.47 states/eV per cell

=====

3.
Compound: CoAgRu
Source: Alexandria via LeMat-Bulk
Functional: SCAN
Structure: PBEsol geometry

```
3
Lattice="2.654 0.000 0.000 0.000 2.654 0.000 -1.327 -1.327 5.671" Properties=species:S:1:pos:R:3 pbc="T T T"
Co 1.327 1.327 2.042
Ru 0.000 0.000 3.568
Ag 0.000 0.000 0.061
```

Summary:
Size of the total moment ... 1.909 μB/f.u.
ΔE_f ... 124 kJ/mol of formula units
Theoretical density ... 11.1 Mg/m³
D(E_F) ... 2.64 states/eV per cell

=====

4.
Compound: CeTlAu2
Source: Alexandria via LeMat-Bulk
Functional: SCAN
Structure: PBEsol geometry

```
4
Lattice="-0.136 2.600 -4.238 -0.287 -2.370 -4.363 -4.195 0.194 -2.665" Properties=species:S:1:pos:R:3 pbc="T T T"
Au -1.155 0.106 -2.816
Au -3.464 0.318 -8.449
Tl 0.000 0.000 0.000
Ce -2.309 0.212 -5.633
```

Summary:
Size of the total moment ... 0.970 μB/f.u.
ΔE_f ... -250 kJ/mol of formula units
Theoretical density ... 14.1 Mg/m³
D(E_F) ... 3.47 states/eV per cell

=====

5.
Compound: CuSb2Br
Source: Alexandria via LeMat-Bulk
Functional: SCAN
Structure: PBEsol geometry

```
4
Lattice="-3.798 0.295 -1.157 -1.503 -2.299 4.347 0.331 5.126 0.224" Properties=species:S:1:pos:R:3 pbc="T T T"
Sb -2.999 -0.520 2.862
Sb 0.284 4.938 0.329
Cu -2.005 3.504 0.628
Br -0.507 1.736 2.106
```

Summary:
Size of the total moment ... 0.000 μB/f.u.
Energy relative to the lowest polymorph listed for this composition ... 0.0 kJ/mol of atoms
Theoretical density ... 6.8 Mg/m³
D(E_F) ... 0.88 states/eV per cell

=====

6.
Compound: Cs2LiV3F12
Source: Alexandria via LeMat-Bulk
Functional: SCAN
Structure: PBEsol geometry

```
18
Lattice="-1.410 -1.844 6.880 5.353 -2.535 4.199 2.564 4.110 5.408" Properties=species:S:1:pos:R:3 pbc="T T T"
Li 0.000 0.000 0.000
F -0.344 -1.105 5.278
F 3.608 2.413 8.479
F 5.315 0.936 7.114
F 5.303 -1.625 7.744
F 2.900 -2.682 8.008
F 2.873 1.243 12.787
F 1.994 2.398 4.412
F 1.193 -1.205 9.373
F 4.514 -2.667 12.075
F 3.635 -1.512 3.700
F 6.852 0.836 11.209
F 1.205 1.356 8.743
V 1.282 2.055 2.704
V 2.677 -1.268 2.099
V -0.705 -0.922 3.440
Cs 2.418 -0.100 6.125
Cs 4.090 -0.169 10.362
```

Summary:
Size of the total moment ... 6.000 μB/f.u.
Uncorrected energy ... -12.849 eV per atom
Theoretical density ... 4.0 Mg/m³

=====

7.
Compound: Sc2ZnIr
Source: Alexandria via LeMat-Bulk
Functional: SCAN
Structure: PBEsol geometry

```
4
Lattice="3.053 0.000 0.000 0.000 4.216 0.000 0.000 0.000 5.502" Properties=species:S:1:pos:R:3 pbc="T T T"
Sc 1.526 2.108 1.561
Sc 0.000 0.000 5.217
Ir 1.526 2.108 4.386
Zn 0.000 0.000 2.591
```

Summary:
Size of the total moment ... 0.000 μB/f.u.
Energy relative to the lowest polymorph listed for this composition ... 40.7 kJ/mol of atoms
ΔE_f ... -183 kJ/mol of formula units
Theoretical density ... 8.1 Mg/m³
D(E_F) ... 2.46 states/eV per cell

=====

8.
Compound: TlTeCl2
Source: Alexandria via LeMat-Bulk
Functional: SCAN
Structure: PBEsol geometry

```
4
Lattice="3.316 0.000 0.000 1.658 5.839 0.085 1.658 2.211 5.405" Properties=species:S:1:pos:R:3 pbc="T T T"
Tl 1.658 4.025 2.745
Cl 3.316 1.876 1.280
Cl 3.316 6.174 4.211
Te 1.658 0.000 0.000
```

Summary:
Size of the total moment ... 0.000 μB/f.u.
Energy relative to the lowest polymorph listed for this composition ... 0.0 kJ/mol of atoms
Theoretical density ... 6.4 Mg/m³
D(E_F) ... 0.53 states/eV per cell

=====

9.
Compound: CoSnTe3
Source: Alexandria via LeMat-Bulk
Functional: SCAN
Structure: PBEsol geometry

```
5
Lattice="-4.848 0.942 0.806 0.123 -2.872 4.097 1.234 3.989 2.759" Properties=species:S:1:pos:R:3 pbc="T T T"
Te 0.617 1.994 1.379
Te 0.062 -1.436 2.048
Te -2.424 0.471 0.403
Co 0.000 0.000 0.000
Sn -1.745 1.030 3.831
```

Summary:
Size of the total moment ... 1.386 μB/f.u.
Uncorrected energy ... -32.706 eV per atom
Theoretical density ... 7.4 Mg/m³
D(E_F) ... 4.78 states/eV per cell

=====

10.
Compound: MnSi2
Source: Alexandria via LeMat-Bulk
Functional: SCAN
Structure: PBEsol geometry

```
6
Lattice="4.801 0.000 0.000 2.400 4.157 0.000 2.400 1.386 3.920" Properties=species:S:1:pos:R:3 pbc="T T T"
Si 3.600 0.693 0.490
Si 2.400 1.386 2.450
Si 1.200 0.693 0.490
Si 2.400 2.772 0.490
Mn 4.801 2.772 1.960
Mn 7.201 4.157 2.940
```

Summary:
Size of the total moment ... 3.477 μB/f.u.
Uncorrected energy ... -12.408 eV per atom
Theoretical density ... 4.7 Mg/m³
D(E_F) ... 4.54 states/eV per cell

=====

11.
Compound: MgReAu2Cl
Source: Alexandria via LeMat-Bulk
Functional: SCAN
Structure: PBEsol geometry

```
5
Lattice="4.784 0.000 0.000 0.000 4.784 0.000 0.000 0.000 5.043" Properties=species:S:1:pos:R:3 pbc="T T T"
Re 0.000 0.000 2.522
Au 0.000 2.392 0.000
Au 2.392 0.000 0.000
Mg 0.000 0.000 0.000
Cl 2.392 2.392 2.522
```

Summary:
Size of the total moment ... 3.800 μB/f.u.
Uncorrected energy ... -43.046 eV per atom
Theoretical density ... 9.2 Mg/m³
D(E_F) ... 2.71 states/eV per cell

=====

12.
Compound: AlCdMo2
Source: Alexandria via LeMat-Bulk
Functional: SCAN
Structure: PBEsol geometry

```
4
Lattice="3.218 0.000 0.000 0.000 3.218 0.000 0.000 0.000 6.333" Properties=species:S:1:pos:R:3 pbc="T T T"
Mo 0.000 0.000 0.242
Mo 1.609 1.609 1.511
Al 0.000 0.000 3.031
Cd 1.609 1.609 4.715
```

Summary:
Size of the total moment ... 0.000 μB/f.u.
Energy relative to the lowest polymorph listed for this composition ... 0.0 kJ/mol of atoms
ΔE_f ... 23 kJ/mol of formula units
Theoretical density ... 8.4 Mg/m³
D(E_F) ... 2.07 states/eV per cell